(1)
# K2HoNpS4

Crystalline K2HoNpS4 at its relaxed geometry (PBE-GGA, Alexandria).

The total magnetization comes out at 4.000 μB per cell. Its formation energy (no corrections) is -1627 meV per atom. The value obtained for the total DFT energy (no corrections) is -6.155 eV/atom.

The structure belongs to space group P2/m (No. 10); the cell edges are 7.062, 4.071 and 7.728 Å and the angles 90.00°, 107.81° and 90.00°. The distinct sites, in fractional coordinates, are K at (0.000, 0.000, 0.000), K at (0.500, 0.500, 0.000), Ho at (0.000, 0.500, 0.500), Np at (0.500, 0.000, 0.500), S at (0.230, 0.000, 0.702) and S at (0.264, 0.500, 0.299).

=====

(2)
# CaReMo

Crystalline CaReMo at its relaxed geometry (PBE-GGA, Alexandria).

As for the energy above the lowest structure with this stoichiometry: 227 meV per atom. The total magnetization comes out at 0.000 μB per cell. The value obtained for the total DFT energy (no corrections) is -7.787 eV/atom. Its formation energy is 640 meV per atom.

The structure belongs to space group P3m1 (No. 156); the cell edges are 4.7645, 4.7645 and 2.7313 Å and the angles 90.00°, 90.00° and 120.00°. The distinct sites, in fractional coordinates, are Ca at (0.0000, 0.0000, 0.0000), Re at (0.3333, 0.6667, 0.6073) and Mo at (0.6667, 0.3333, 0.3617).

=====

(3)
# KSiHg

Crystalline KSiHg at its relaxed geometry (PBE-GGA, Alexandria).

As for the energy above the lowest structure with this stoichiometry: 166 meV per atom. The total magnetization comes out at 0.000 μB per cell. Its formation energy (no corrections) is 231 meV per atom. The value obtained for the total DFT energy (no corrections) is -2.043 eV/atom.

The structure belongs to space group I4mm (No. 107); the cell edges are 3.827, 3.827 and 12.055 Å and the angles 90.00°, 90.00° and 90.00°. The distinct sites, in fractional coordinates, are K at (0.000, 0.000, 0.000), Si at (0.000, 0.000, 0.722) and Hg at (0.000, 0.000, 0.272).

=====

(4)
# YIn2Cu

Crystalline YIn2Cu at its relaxed geometry (PBE-GGA, Alexandria).

The total magnetization comes out at 0.000 μB per cell. The value obtained for the total DFT energy (no corrections) is -4.206 eV/atom. Its formation energy is -196 meV per atom.

The structure belongs to space group P2/m (No. 10); the cell edges are 3.557, 4.600 and 5.761 Å and the angles 90.00°, 100.01° and 90.00°. The distinct sites, in fractional coordinates, are Y at (0.000, 0.000, 0.000), In at (0.375, 0.500, 0.730) and Cu at (0.500, 0.000, 0.500).

=====

(5)
# Hf7P2C2

Crystalline Hf7P2C2 at its relaxed geometry (PBE-GGA, Alexandria).

The total magnetization comes out at 0.001 μB per cell. The value obtained for the total DFT energy (no corrections) is -9.622 eV/atom. Its formation energy is -627 meV per atom.

The structure belongs to space group Imm2 (No. 44); the cell edges are 3.323, 13.531 and 8.116 Å and the angles 90.00°, 90.00° and 90.00°. The distinct sites, in fractional coordinates, are Hf at (0.000, 0.000, 0.000), Hf at (0.000, 0.123, 0.411), Hf at (0.000, 0.318, 0.609), Hf at (0.000, 0.349, 0.255), P at (0.000, 0.000, 0.669), P at (0.000, 0.500, 0.756) and C at (0.000, 0.257, 0.898).

=====

(6)
# SmPuPdPb

Crystalline SmPuPdPb at its relaxed geometry (PBE-GGA, Alexandria).

The total magnetization comes out at 21.855 μB per cell. The value obtained for the total DFT energy (no corrections) is -7.330 eV/atom. Its formation energy is -342 meV per atom.

The structure belongs to space group F-43m (No. 216); the cell edges are 7.487, 7.487 and 7.487 Å and the angles 90.00°, 90.00° and 90.00°. The distinct sites, in fractional coordinates, are Sm at (0.000, 0.000, 0.000), Pu at (0.000, 0.000, 0.500), Pd at (0.250, 0.250, 0.250) and Pb at (0.250, 0.250, 0.750).

=====

(7)
# Er5Tl2CdIr2

Crystalline Er5Tl2CdIr2 at its relaxed geometry (PBE-GGA, Alexandria).

The total magnetization comes out at 0.000 μB per cell. The value obtained for the total DFT energy (no corrections) is -5.121 eV/atom. Its formation energy is -503 meV per atom.

The structure belongs to space group P4/mbm (No. 127); the cell edges are 12.009, 12.009 and 3.589 Å and the angles 90.00°, 90.00° and 90.00°. The distinct sites, in fractional coordinates, are Er at (0.000, 0.500, 0.000), Er at (0.077, 0.208, 0.000), Tl at (0.173, 0.673, 0.500), Cd at (0.000, 0.000, 0.500) and Ir at (0.130, 0.370, 0.500).

=====

(8)
# LiCo

Crystalline LiCo at its relaxed geometry (PBE-GGA, Alexandria).

The total magnetization comes out at 11.180 μB per cell. The value obtained for the total DFT energy (no corrections) is -4.258 eV/atom. Its formation energy is 251 meV per atom.

The structure belongs to space group P4/mmm (No. 123); the cell edges are 9.426, 9.426 and 2.581 Å and the angles 90.00°, 90.00° and 90.00°. The distinct sites, in fractional coordinates, are Li at (0.000, 0.371, 0.000), Li at (0.199, 0.199, 0.500), Co at (0.201, 0.500, 0.500) and Co at (0.367, 0.367, 0.000).

=====

(9)
# Sb2MoH

Crystalline Sb2MoH at its relaxed geometry (PBE-GGA, Alexandria).

As for the energy above the lowest structure with this stoichiometry: 126 meV per atom. The total magnetization comes out at 4.752 μB per cell. The value obtained for the total DFT energy (no corrections) is -4.893 eV/atom.

The structure belongs to space group Fm-3m (No. 225); the cell edges are 6.629, 6.629 and 6.629 Å and the angles 90.00°, 90.00° and 90.00°. The distinct sites, in fractional coordinates, are Sb at (0.250, 0.250, 0.250), Mo at (0.000, 0.000, 0.000) and H at (0.000, 0.000, 0.500).

=====

Repeat the first record exactly.
# K2HoNpS4

Crystalline K2HoNpS4 at its relaxed geometry (PBE-GGA, Alexandria).

The total magnetization comes out at 4.000 μB per cell. Its formation energy (no corrections) is -1627 meV per atom. The value obtained for the total DFT energy (no corrections) is -6.155 eV/atom.

The structure belongs to space group P2/m (No. 10); the cell edges are 7.062, 4.071 and 7.728 Å and the angles 90.00°, 107.81° and 90.00°. The distinct sites, in fractional coordinates, are K at (0.000, 0.000, 0.000), K at (0.500, 0.500, 0.000), Ho at (0.000, 0.500, 0.500), Np at (0.500, 0.000, 0.500), S at (0.230, 0.000, 0.702) and S at (0.264, 0.500, 0.299).